Compound: Ta2CuReH
Source: Alexandria
Functional: PBE
Structure: optimized geometry

- volume (Å³/cell) = 65.9
- symmetry = P4/mmm, No. 123
- magnetic moment (μB/cell) = 0.00
- ΔE to the lowest computed polymorph (eV per atom) = 0.061

```
Ta2CuReH
1.0
4.140 0.000 0.000
0.000 4.140 0.000
0.000 0.000 3.846
Ta Cu Re H
2 1 1 1
direct
0.000 0.500 0.000 Ta
0.500 0.000 0.000 Ta
0.000 0.000 0.500 Cu
0.500 0.500 0.500 Re
0.500 0.500 0.000 H
```

***

Compound: Ta2CuReH
Source: Alexandria
Functional: PBE
Structure: optimized geometry

- volume (Å³/cell) = 65.6
- symmetry = P4/mmm, No. 123
- magnetic moment (μB/cell) = 0.00
- ΔE to the lowest computed polymorph (eV per atom) = 0.000

```
Ta2CuReH
1.0
4.389 0.000 0.000
0.000 4.389 0.000
0.000 0.000 3.404
Ta Cu Re H
2 1 1 1
direct
0.000 0.500 0.000 Ta
0.500 0.000 0.000 Ta
0.000 0.000 0.500 Cu
0.500 0.500 0.500 Re
0.000 0.000 0.000 H
```

***

Compound: Cu2ReTeH
Source: Alexandria
Functional: PBE
Structure: optimized geometry

- volume (Å³/cell) = 123.0
- symmetry = P4/mmm, No. 123
- magnetic moment (μB/cell) = 4.00

```
Cu2ReTeH
1.0
4.876 0.000 0.000
0.000 4.876 0.000
0.000 0.000 5.171
Cu Re Te H
2 1 1 1
direct
0.000 0.500 0.000 Cu
0.500 0.000 0.000 Cu
0.000 0.000 0.500 Re
0.000 0.000 0.000 Te
0.500 0.500 0.500 H
```

***

Compound: V2CuReH
Source: Alexandria
Functional: PBE
Structure: optimized geometry

- volume (Å³/cell) = 55.8
- symmetry = P4/mmm, No. 123
- magnetic moment (μB/cell) = 0.00
- ΔE to the lowest computed polymorph (eV per atom) = 0.029

```
V2CuReH
1.0
3.816 0.000 0.000
0.000 3.816 0.000
0.000 0.000 3.831
V Cu Re H
2 1 1 1
direct
0.000 0.500 0.000 V
0.500 0.000 0.000 V
0.000 0.000 0.500 Cu
0.500 0.500 0.500 Re
0.500 0.500 0.000 H
```

***

Compound: V2CuReH
Source: Alexandria
Functional: PBE
Structure: optimized geometry

- volume (Å³/cell) = 55.3
- symmetry = P4/mmm, No. 123
- magnetic moment (μB/cell) = 0.00
- ΔE to the lowest computed polymorph (eV per atom) = 0.000

```
V2CuReH
1.0
3.982 0.000 0.000
0.000 3.982 0.000
0.000 0.000 3.490
V Cu Re H
2 1 1 1
direct
0.000 0.500 0.000 V
0.500 0.000 0.000 V
0.000 0.000 0.500 Cu
0.500 0.500 0.500 Re
0.000 0.000 0.000 H
```

***

Compound: CuH4Rh
Source: Alexandria
Functional: PBE
Structure: optimized geometry

- volume (Å³/cell) = 84.7
- symmetry = C2/c, No. 15
- magnetic moment (μB/cell) = 0.00
- ΔE to the lowest computed polymorph (eV per atom) = 0.000

```
CuH4Rh
1.0
2.696 -3.667 0.000
2.696 3.667 0.000
-2.622 0.000 4.284
Cu H Rh
2 8 2
direct
0.234 0.766 0.750 Cu
0.766 0.234 0.250 Cu
0.067 0.722 0.006 H
0.254 0.380 0.469 H
0.278 0.933 0.494 H
0.380 0.254 0.969 H
0.620 0.746 0.031 H
0.722 0.067 0.506 H
0.746 0.620 0.531 H
0.933 0.278 0.994 H
0.374 0.626 0.250 Rh
0.626 0.374 0.750 Rh
```

***

Compound: Cu2H2Rh
Source: Alexandria
Functional: PBE
Structure: optimized geometry

- volume (Å³/cell) = 95.9
- symmetry = P4/mbm, No. 127
- magnetic moment (μB/cell) = 0.00
- ΔE to the lowest computed polymorph (eV per atom) = 0.000

```
Cu2H2Rh
1.0
5.002 0.000 0.000
0.000 5.002 0.000
0.000 0.000 3.835
Cu H Rh
4 4 2
direct
0.193 0.307 0.000 Cu
0.307 0.807 0.000 Cu
0.693 0.193 0.000 Cu
0.807 0.693 0.000 Cu
0.204 0.296 0.500 H
0.296 0.796 0.500 H
0.704 0.204 0.500 H
0.796 0.704 0.500 H
0.000 0.000 0.500 Rh
0.500 0.500 0.500 Rh
```

***

Compound: CuH4Rh3
Source: Alexandria
Functional: PBE
Structure: optimized geometry

- volume (Å³/cell) = 64.3
- symmetry = Pm-3m, No. 221
- magnetic moment (μB/cell) = 0.00

```
CuH4Rh3
1.0
4.007 0.000 0.000
0.000 4.007 0.000
0.000 0.000 4.007
Cu H Rh
1 4 3
direct
0.000 0.000 0.000 Cu
0.000 0.000 0.500 H
0.000 0.500 0.000 H
0.500 0.000 0.000 H
0.500 0.500 0.500 H
0.000 0.500 0.500 Rh
0.500 0.000 0.500 Rh
0.500 0.500 0.000 Rh
```

***

Compound: CuH2Rh
Source: Alexandria
Functional: PBE
Structure: optimized geometry

- volume (Å³/cell) = 32.3
- symmetry = P1, No. 1
- magnetic moment (μB/cell) = 0.00
- ΔE to the lowest computed polymorph (eV per atom) = 0.000

```
CuH2Rh
1.0
2.903 0.000 0.000
1.451 2.549 0.000
1.439 0.798 4.372
Cu H Rh
1 2 1
direct
0.000 0.000 0.000 Cu
0.234 0.219 0.310 H
0.767 0.776 0.690 H
0.500 0.498 0.500 Rh
```

***

Compound: Cu2H3Rh
Source: Alexandria
Functional: PBE
Structure: optimized geometry

- volume (Å³/cell) = 97.7
- symmetry = P-1, No. 2
- magnetic moment (μB/cell) = 0.00
- ΔE to the lowest computed polymorph (eV per atom) = 0.036

```
Cu2H3Rh
1.0
2.899 0.000 0.000
1.410 4.825 0.000
0.024 0.015 6.986
Cu H Rh
4 6 2
direct
0.126 0.245 0.454 Cu
0.160 0.179 0.093 Cu
0.840 0.821 0.907 Cu
0.874 0.755 0.546 Cu
0.149 0.191 0.841 H
0.319 0.865 0.395 H
0.385 0.735 0.740 H
0.615 0.265 0.260 H
0.681 0.135 0.605 H
0.851 0.809 0.159 H
0.442 0.619 0.216 Rh
0.558 0.381 0.784 Rh
```

***

Compound: CuH2Rh
Source: Alexandria
Functional: PBE
Structure: optimized geometry

- volume (Å³/cell) = 68.3
- symmetry = I-42d, No. 122
- magnetic moment (μB/cell) = 0.00
- ΔE to the lowest computed polymorph (eV per atom) = 0.057

```
CuH2Rh
1.0
-1.981 1.981 4.350
1.981 -1.981 4.350
1.981 1.981 -4.350
Cu H Rh
2 4 2
direct
0.000 0.000 0.000 Cu
0.750 0.250 0.500 Cu
0.134 0.625 0.009 H
0.375 0.384 0.509 H
0.616 0.125 0.991 H
0.875 0.866 0.491 H
0.250 0.750 0.500 Rh
0.500 0.500 0.000 Rh
```

***

Compound: Cu3H9Rh4
Source: Alexandria
Functional: PBE
Structure: optimized geometry

- volume (Å³/cell) = 123.8
- symmetry = R3, No. 146
- magnetic moment (μB/cell) = 0.00

```
Cu3H9Rh4
1.0
2.298 1.327 6.764
-2.298 1.327 6.764
0.000 -2.654 6.764
Cu H Rh
3 9 4
direct
0.000 0.000 0.000 Cu
0.166 0.166 0.166 Cu
0.584 0.584 0.584 Cu
0.052 0.813 0.510 H
0.115 0.355 0.654 H
0.183 0.571 0.988 H
0.355 0.654 0.115 H
0.510 0.052 0.813 H
0.571 0.988 0.183 H
0.654 0.115 0.355 H
0.813 0.510 0.052 H
0.988 0.183 0.571 H
0.303 0.303 0.303 Rh
0.450 0.450 0.450 Rh
0.717 0.717 0.717 Rh
0.865 0.865 0.865 Rh
```

***

Compound: Cu4H3Rh
Source: Alexandria
Functional: PBE
Structure: optimized geometry

- volume (Å³/cell) = 142.0
- symmetry = Cc, No. 9
- magnetic moment (μB/cell) = 0.00

```
Cu4H3Rh
1.0
4.624 -2.363 0.000
4.624 2.363 0.000
-2.593 0.000 6.500
Cu H Rh
8 6 2
direct
0.028 0.359 0.405 Cu
0.163 0.837 0.500 Cu
0.222 0.556 0.798 Cu
0.359 0.028 0.905 Cu
0.556 0.222 0.298 Cu
0.614 0.964 0.597 Cu
0.837 0.163 0.000 Cu
0.964 0.614 0.097 Cu
0.039 0.972 0.233 H
0.409 0.410 0.063 H
0.410 0.409 0.563 H
0.768 0.777 0.825 H
0.777 0.768 0.325 H
0.972 0.039 0.733 H
0.434 0.748 0.199 Rh
0.748 0.434 0.699 Rh
```

***

Compound: Cu2H2Rh
Source: Alexandria
Functional: PBE
Structure: optimized geometry

- volume (Å³/cell) = 89.2
- symmetry = P2_1/m, No. 11
- magnetic moment (μB/cell) = 0.00
- ΔE to the lowest computed polymorph (eV per atom) = 0.017

```
Cu2H2Rh
1.0
2.921 0.000 0.000
0.000 7.016 0.000
-1.457 0.000 4.351
Cu H Rh
4 4 2
direct
0.143 0.070 0.283 Cu
0.143 0.430 0.283 Cu
0.857 0.570 0.717 Cu
0.857 0.930 0.717 Cu
0.195 0.750 0.390 H
0.500 0.000 0.000 H
0.500 0.500 0.000 H
0.805 0.250 0.610 H
0.416 0.250 0.833 Rh
0.584 0.750 0.167 Rh
```

***

Compound: Cu2H2Rh
Source: Alexandria
Functional: PBE
Structure: optimized geometry

- volume (Å³/cell) = 44.2
- symmetry = I4/mmm, No. 139
- magnetic moment (μB/cell) = 0.00
- ΔE to the lowest computed polymorph (eV per atom) = 0.267

```
Cu2H2Rh
1.0
-1.630 1.630 4.159
1.630 -1.630 4.159
1.630 1.630 -4.159
Cu H Rh
2 2 1
direct
0.164 0.164 0.000 Cu
0.836 0.836 0.000 Cu
0.250 0.750 0.500 H
0.750 0.250 0.500 H
0.500 0.500 0.000 Rh
```

***

Compound: CuH7Rh2
Source: Alexandria
Functional: PBE
Structure: optimized geometry

- volume (Å³/cell) = 73.9
- symmetry = Cmmm, No. 65
- magnetic moment (μB/cell) = 0.00

```
CuH7Rh2
1.0
2.872 -3.940 0.000
2.872 3.940 0.000
0.000 0.000 3.264
Cu H Rh
1 7 2
direct
0.000 0.000 0.000 Cu
0.091 0.343 0.500 H
0.332 0.668 0.000 H
0.343 0.091 0.500 H
0.500 0.500 0.500 H
0.657 0.909 0.500 H
0.668 0.332 0.000 H
0.909 0.657 0.500 H
0.279 0.721 0.500 Rh
0.721 0.279 0.500 Rh
```

***

Compound: CuHRh2
Source: Alexandria
Functional: PBE
Structure: optimized geometry

- volume (Å³/cell) = 44.6
- symmetry = P4/mmm, No. 123
- magnetic moment (μB/cell) = 0.00
- ΔE to the lowest computed polymorph (eV per atom) = 0.238

```
CuHRh2
1.0
2.663 0.000 0.000
0.000 2.663 0.000
0.000 0.000 6.293
Cu H Rh
1 1 2
direct
0.000 0.000 0.000 Cu
0.000 0.000 0.500 H
0.500 0.500 0.300 Rh
0.500 0.500 0.700 Rh
```

***

Compound: Cu3H4Rh2
Source: Alexandria
Functional: PBE
Structure: optimized geometry

- volume (Å³/cell) = 78.3
- symmetry = C2/m, No. 12
- magnetic moment (μB/cell) = 0.00
- ΔE to the lowest computed polymorph (eV per atom) = 0.000

```
Cu3H4Rh2
1.0
4.410 -1.398 0.000
4.410 1.398 0.000
-1.773 0.000 6.352
Cu H Rh
3 4 2
direct
0.000 0.000 0.000 Cu
0.371 0.371 0.611 Cu
0.629 0.629 0.389 Cu
0.055 0.055 0.695 H
0.317 0.317 0.895 H
0.683 0.683 0.105 H
0.945 0.945 0.305 H
0.319 0.319 0.200 Rh
0.681 0.681 0.800 Rh
```

***

Compound: Cu2H4Rh3
Source: Alexandria
Functional: PBE
Structure: optimized geometry

- volume (Å³/cell) = 78.7
- symmetry = P-3m1, No. 164
- magnetic moment (μB/cell) = 0.00

```
Cu2H4Rh3
1.0
2.853 0.000 0.000
-1.427 2.471 0.000
0.000 0.000 11.163
Cu H Rh
2 4 3
direct
0.333 0.667 0.201 Cu
0.667 0.333 0.799 Cu
0.000 0.000 0.323 H
0.000 0.000 0.677 H
0.333 0.667 0.918 H
0.667 0.333 0.082 H
0.000 0.000 0.000 Rh
0.333 0.667 0.603 Rh
0.667 0.333 0.397 Rh
```

***

Compound: Cu2H12Rh5
Source: Alexandria
Functional: PBE
Structure: optimized geometry

- volume (Å³/cell) = 143.9
- symmetry = P-1, No. 2
- magnetic moment (μB/cell) = 0.00

```
Cu2H12Rh5
1.0
4.803 0.000 0.000
1.600 4.747 0.000
2.041 1.484 6.312
Cu H Rh
2 12 5
direct
0.230 0.427 0.090 Cu
0.770 0.573 0.910 Cu
0.034 0.156 0.146 H
0.047 0.697 0.229 H
0.238 0.730 0.471 H
0.302 0.177 0.497 H
0.335 0.444 0.805 H
0.384 0.922 0.901 H
0.616 0.078 0.099 H
0.665 0.556 0.195 H
0.698 0.823 0.503 H
0.762 0.270 0.529 H
0.953 0.303 0.771 H
0.966 0.844 0.854 H
0.000 0.500 0.500 Rh
0.326 0.808 0.680 Rh
0.340 0.853 0.191 Rh
0.660 0.147 0.809 Rh
0.674 0.192 0.320 Rh
```

***

no.,uncorrected energy (eV per atom)
1,-8.676
2,-8.736
3,-3.572
4,-7.598
5,-7.626
6,-4.122
7,-4.421
8,-4.936
9,-4.529
10,-4.213
11,-4.472
12,-4.448
13,-4.181
14,-4.405
15,-4.154
16,-4.131
17,-5.235
18,-4.446
19,-4.819
20,-4.450